# 1
## Mg3GeH (SCAN)

Data for a crystal of Mg3GeH relaxed with PBEsol.

For the calculated density, the calculation gives 3.1 g cm⁻³. The calculation puts the electronic total energy at -37.72 eV per formula unit. As for the crystal system: cubic.

The space group is Pm-3m (No. 221) and the conventional cell measures 4.2944, 4.2944 and 4.2944 Å, with angles of 90.00, 90.00 and 90.00 degrees. The asymmetric unit holds Mg at (0.0000, 0.0000, 0.5000), Ge at (0.5000, 0.5000, 0.5000) and H at (0.0000, 0.0000, 0.0000).

=====

# 2
## Li2MnB2O6 (SCAN)

Data for a crystal of Li2MnB2O6 relaxed with PBEsol.

For the calculated density, the calculation gives 3.0 g cm⁻³. The value obtained for the formation energy without anion corrections is -26.271 eV per formula unit. As for the crystal system: monoclinic.

The space group is P2_1/c (No. 14) and the conventional cell measures 5.3496, 7.6353 and 5.7780 Å, with angles of 90.00, 118.39 and 90.00 degrees. The asymmetric unit holds Li at (0.1098, 0.0647, 0.3073), Mn at (0.5000, 0.0000, 0.0000), B at (0.3756, 0.7425, 0.1301), O at (0.2280, 0.6011, 0.5873), O at (0.2699, 0.5826, 0.1521) and O at (0.3823, 0.2354, 0.9003).

=====

# 3
## Sc2NbCo (SCAN)

Data for a crystal of Sc2NbCo relaxed with PBEsol.

For the calculated density, the calculation gives 5.6 g cm⁻³. The energy above the most stable polymorph in this dataset is 0.2340 eV per atom. The value obtained for the formation energy is 378 meV/atom. As for the crystal system: trigonal.

The space group is R-3m (No. 166, hexagonal axes) and the conventional cell measures 2.9667, 2.9667 and 28.2793 Å, with angles of 90.00, 90.00 and 120.00 degrees. The asymmetric unit holds Sc at (0.0000, 0.0000, 0.1006), Nb at (0.0000, 0.0000, 0.0000) and Co at (0.0000, 0.0000, 0.5000).

=====

# 4
## TaTl2Cl (SCAN)

Data for a crystal of TaTl2Cl relaxed with PBEsol.

For the calculated density, the calculation gives 12.1 g cm⁻³. The value obtained for the formation energy without anion corrections is 1.498 eV per formula unit. The energy above the most stable polymorph in this dataset is 0.3873 eV per atom. As for the crystal system: orthorhombic.

The space group is Cmmm (No. 65) and the conventional cell measures 3.5292, 5.3185 and 9.1738 Å, with angles of 90.00, 90.00 and 90.00 degrees. The asymmetric unit holds Ta at (0.0000, 0.0000, 0.0000), Tl at (0.0000, 0.5000, 0.2513) and Cl at (0.0000, 0.0000, 0.5000).